[1]
{"formula": "LiAcYAl", "functional": "PBE", "state": "relaxed", "lattice_angstrom": [[7.6590, 0.0000, 0.0000], [0.0000, 7.6590, 0.0000], [0.0000, 0.0000, 7.6590]], "species": ["Li", "Li", "Li", "Li", "Ac", "Ac", "Ac", "Ac", "Y", "Y", "Y", "Y", "Al", "Al", "Al", "Al"], "frac_coords": [[0.0000, 0.0000, 0.0000], [0.0000, 0.5000, 0.5000], [0.5000, 0.0000, 0.5000], [0.5000, 0.5000, 0.0000], [0.2500, 0.2500, 0.7500], [0.2500, 0.7500, 0.2500], [0.7500, 0.2500, 0.2500], [0.7500, 0.7500, 0.7500], [0.2500, 0.2500, 0.2500], [0.2500, 0.7500, 0.7500], [0.7500, 0.2500, 0.7500], [0.7500, 0.7500, 0.2500], [0.0000, 0.0000, 0.5000], [0.0000, 0.5000, 0.0000], [0.5000, 0.0000, 0.0000], [0.5000, 0.5000, 0.5000]], "e_form_ev_per_atom": -0.143, "energy_ev_per_atom": -4.200}

=====

[2]
{"formula": "LiAcAlZn2", "functional": "PBE", "state": "relaxed", "lattice_angstrom": [[4.5248, 0.0000, 0.0000], [0.0000, 4.5248, 0.0000], [0.0000, 0.0000, 10.6025]], "species": ["Li", "Li", "Ac", "Ac", "Al", "Al", "Zn", "Zn", "Zn", "Zn"], "frac_coords": [[0.0000, 0.0000, 0.0000], [0.5000, 0.5000, 0.5000], [0.0000, 0.5000, 0.2500], [0.5000, 0.0000, 0.7500], [0.0000, 0.0000, 0.5000], [0.5000, 0.5000, 0.0000], [0.0000, 0.5000, 0.6286], [0.0000, 0.5000, 0.8714], [0.5000, 0.0000, 0.1286], [0.5000, 0.0000, 0.3714]], "e_form_ev_per_atom": -0.278, "energy_ev_per_atom": -2.741}

=====

[3]
{"formula": "LiAcAlZn", "functional": "PBE", "state": "relaxed", "lattice_angstrom": [[7.1270, 0.0000, 0.0000], [0.0000, 7.1270, 0.0000], [0.0000, 0.0000, 7.1270]], "species": ["Li", "Li", "Li", "Li", "Ac", "Ac", "Ac", "Ac", "Al", "Al", "Al", "Al", "Zn", "Zn", "Zn", "Zn"], "frac_coords": [[0.0000, 0.0000, 0.0000], [0.0000, 0.5000, 0.5000], [0.5000, 0.0000, 0.5000], [0.5000, 0.5000, 0.0000], [0.2500, 0.2500, 0.7500], [0.2500, 0.7500, 0.2500], [0.7500, 0.2500, 0.2500], [0.7500, 0.7500, 0.7500], [0.2500, 0.2500, 0.2500], [0.2500, 0.7500, 0.7500], [0.7500, 0.2500, 0.7500], [0.7500, 0.7500, 0.2500], [0.0000, 0.0000, 0.5000], [0.0000, 0.5000, 0.0000], [0.5000, 0.0000, 0.0000], [0.5000, 0.5000, 0.5000]], "e_form_ev_per_atom": -0.170, "energy_ev_per_atom": -2.930, "relative_energy_ev_per_atom": 0.0600}

=====

[4]
{"formula": "LiAcAlZn", "functional": "PBE", "state": "relaxed", "lattice_angstrom": [[7.7910, 0.0000, 0.0000], [0.0000, 4.4989, 0.0000], [-2.6075, 0.0000, 5.3934]], "species": ["Li", "Li", "Ac", "Ac", "Al", "Al", "Zn", "Zn"], "frac_coords": [[0.0000, 0.0000, 0.0000], [0.5000, 0.5000, 0.0000], [0.1999, 0.0000, 0.5994], [0.6999, 0.5000, 0.5994], [0.2089, 0.5000, 0.1270], [0.7089, 0.0000, 0.1270], [0.4035, 0.0000, 0.2114], [0.9035, 0.5000, 0.2114]], "e_form_ev_per_atom": -0.230, "energy_ev_per_atom": -2.990, "relative_energy_ev_per_atom": 0.0000}

=====

[5]
{"formula": "Ac2LuAl", "functional": "PBE", "state": "relaxed", "lattice_angstrom": [[8.1019, 0.0000, 0.0000], [0.0000, 8.1019, 0.0000], [0.0000, 0.0000, 8.1019]], "species": ["Ac", "Ac", "Ac", "Ac", "Ac", "Ac", "Ac", "Ac", "Lu", "Lu", "Lu", "Lu", "Al", "Al", "Al", "Al"], "frac_coords": [[0.2500, 0.2500, 0.2500], [0.2500, 0.2500, 0.7500], [0.2500, 0.7500, 0.2500], [0.2500, 0.7500, 0.7500], [0.7500, 0.2500, 0.2500], [0.7500, 0.2500, 0.7500], [0.7500, 0.7500, 0.2500], [0.7500, 0.7500, 0.7500], [0.0000, 0.0000, 0.0000], [0.0000, 0.5000, 0.5000], [0.5000, 0.0000, 0.5000], [0.5000, 0.5000, 0.0000], [0.0000, 0.0000, 0.5000], [0.0000, 0.5000, 0.0000], [0.5000, 0.0000, 0.0000], [0.5000, 0.5000, 0.5000]], "e_form_ev_per_atom": 0.017, "energy_ev_per_atom": -4.103, "relative_energy_ev_per_atom": 0.0544}

=====

[6]
{"formula": "AcLu2Al", "functional": "PBE", "state": "relaxed", "lattice_angstrom": [[7.7107, 0.0000, 0.0000], [0.0000, 7.7107, 0.0000], [0.0000, 0.0000, 7.7107]], "species": ["Ac", "Ac", "Ac", "Ac", "Lu", "Lu", "Lu", "Lu", "Lu", "Lu", "Lu", "Lu", "Al", "Al", "Al", "Al"], "frac_coords": [[0.0000, 0.0000, 0.0000], [0.0000, 0.5000, 0.5000], [0.5000, 0.0000, 0.5000], [0.5000, 0.5000, 0.0000], [0.2500, 0.2500, 0.2500], [0.2500, 0.2500, 0.7500], [0.2500, 0.7500, 0.2500], [0.2500, 0.7500, 0.7500], [0.7500, 0.2500, 0.2500], [0.7500, 0.2500, 0.7500], [0.7500, 0.7500, 0.2500], [0.7500, 0.7500, 0.7500], [0.0000, 0.0000, 0.5000], [0.0000, 0.5000, 0.0000], [0.5000, 0.0000, 0.0000], [0.5000, 0.5000, 0.5000]], "e_form_ev_per_atom": 0.132, "energy_ev_per_atom": -4.091, "relative_energy_ev_per_atom": 0.2777}

=====

Question: Number 4 is which compound?
Answer: LiAcAlZn

=====

Please write out number 3 again, unchanged.
{"formula": "LiAcAlZn", "functional": "PBE", "state": "relaxed", "lattice_angstrom": [[7.1270, 0.0000, 0.0000], [0.0000, 7.1270, 0.0000], [0.0000, 0.0000, 7.1270]], "species": ["Li", "Li", "Li", "Li", "Ac", "Ac", "Ac", "Ac", "Al", "Al", "Al", "Al", "Zn", "Zn", "Zn", "Zn"], "frac_coords": [[0.0000, 0.0000, 0.0000], [0.0000, 0.5000, 0.5000], [0.5000, 0.0000, 0.5000], [0.5000, 0.5000, 0.0000], [0.2500, 0.2500, 0.7500], [0.2500, 0.7500, 0.2500], [0.7500, 0.2500, 0.2500], [0.7500, 0.7500, 0.7500], [0.2500, 0.2500, 0.2500], [0.2500, 0.7500, 0.7500], [0.7500, 0.2500, 0.7500], [0.7500, 0.7500, 0.2500], [0.0000, 0.0000, 0.5000], [0.0000, 0.5000, 0.0000], [0.5000, 0.0000, 0.0000], [0.5000, 0.5000, 0.5000]], "e_form_ev_per_atom": -0.170, "energy_ev_per_atom": -2.930, "relative_energy_ev_per_atom": 0.0600}

=====

Question: Which formula does entry 6 have?
Answer: AcLu2Al